Record 1
First-principles (PBE) data for Rb2HoBe2S4 after structural relaxation, as listed in Alexandria via LeMat-Bulk.

Cell: 3.7108 7.9973 7.5297 Å, 109.71 104.27 90.00°
Fractional positions:
Rb1 0.1307 0.5424 0.2615
Rb2 0.8693 0.4576 0.7385
S1 0.5355 0.7750 0.0710
S2 0.4645 0.2250 0.9290
S3 0.7958 0.8656 0.5916
S4 0.2042 0.1344 0.4084
Be1 0.6713 0.9760 0.3427
Be2 0.3287 0.0240 0.6573
Ho1 0.0000 0.0000 0.0000

Values from the calculation:
Raw formation energy, meV/atom: -1193
Total energy, eV/atom: -4.58
V, A^3/atom: 22.56

Record 2
First-principles (PBE) data for Rb2HoBe2Se4 after structural relaxation, as listed in Alexandria via LeMat-Bulk.

Cell: 3.8633 7.9816 9.4095 Å, 116.81 101.85 90.00°
Fractional positions:
Be1 0.6302 0.0386 0.2604
Be2 0.3698 0.9614 0.7396
Rb1 0.1380 0.6042 0.2760
Rb2 0.8620 0.3958 0.7240
Se1 0.8202 0.8167 0.6404
Se2 0.5241 0.7648 0.0483
Se3 0.1798 0.1833 0.3596
Se4 0.4759 0.2352 0.9517
Ho1 0.0000 0.0000 0.0000

Values from the calculation:
Raw formation energy, meV/atom: -1099
Total energy, eV/atom: -4.20
V, A^3/atom: 28.00

Record 3
First-principles (PBE) data for RbHoBeTe3 after structural relaxation, as listed in Alexandria via LeMat-Bulk.

Cell: 4.2777 10.2112 10.3946 Å, 111.19 90.00 90.00°
Fractional positions:
Te1 0.2500 0.1121 0.8493
Te2 0.7500 0.8879 0.1507
Te3 0.2500 0.8206 0.4665
Te4 0.2500 0.5297 0.8279
Te5 0.7500 0.4703 0.1721
Te6 0.7500 0.1794 0.5335
Ho1 0.2500 0.6700 0.1411
Ho2 0.7500 0.3300 0.8589
Be1 0.7500 0.9206 0.3956
Be2 0.2500 0.0794 0.6044
Rb1 0.7500 0.7905 0.7610
Rb2 0.2500 0.2095 0.2390

Values from the calculation:
Raw formation energy, meV/atom: -1004
Total energy, eV/atom: -4.12
V, A^3/atom: 35.28

Which of these has the lowest total energy? Rb2HoBe2S4

Which formula does entry 3 have? RbHoBeTe3

Repeat the third record exactly.
First-principles (PBE) data for RbHoBeTe3 after structural relaxation, as listed in Alexandria via LeMat-Bulk.

Cell: 4.2777 10.2112 10.3946 Å, 111.19 90.00 90.00°
Fractional positions:
Te1 0.2500 0.1121 0.8493
Te2 0.7500 0.8879 0.1507
Te3 0.2500 0.8206 0.4665
Te4 0.2500 0.5297 0.8279
Te5 0.7500 0.4703 0.1721
Te6 0.7500 0.1794 0.5335
Ho1 0.2500 0.6700 0.1411
Ho2 0.7500 0.3300 0.8589
Be1 0.7500 0.9206 0.3956
Be2 0.2500 0.0794 0.6044
Rb1 0.7500 0.7905 0.7610
Rb2 0.2500 0.2095 0.2390

Values from the calculation:
Raw formation energy, meV/atom: -1004
Total energy, eV/atom: -4.12
V, A^3/atom: 35.28